# TbNpU

A relaxed TbNpU crystal (PBE, the Open Quantum Materials Database).

Lattice parameters (Å, degrees): 4.9055 4.9055 4.9055 60.00 60.00 60.00
With the nearest neighbours (Å) after each atom.
Atoms (fractional coordinates):
Tb 0.0000 0.0000 0.0000  4 Np 3.00
Np 0.2500 0.2500 0.2500  4 U 3.00, 4 Tb 3.00
U 0.5000 0.5000 0.5000  4 Np 3.00

Summary:
Offset from the most stable computed form (kcal/mol of atoms): 0.00
DFT formation energy (eV per formula unit): 3.2
Space group: F-43m, No. 216
Calculated volume (A^3/atom): 27.824